[1]
The following is a DFT calculation (PBE) of an optimized crystal structure of Rb3SiH7.

```
22
Lattice="-3.142 -0.224 -4.806 4.168 -6.069 -2.442 -4.980 -4.822 3.482" Properties=species:S:1:pos:R:3 pbc="T T T"
Rb 0.000 0.000 0.000
Rb 0.252 -6.641 -3.291
Rb -1.126 -2.923 -2.563
Rb -2.829 -8.192 -1.203
Rb -0.406 -5.445 0.520
Rb -4.207 -4.474 -0.476
H -1.783 -8.530 -3.927
H -2.172 -2.585 0.161
H -3.443 -6.771 1.188
H 0.097 -8.396 -1.052
H -5.323 -6.905 -1.688
H -2.609 -4.010 1.894
H -1.571 -0.112 -2.403
H 1.369 -4.210 -2.078
H -4.052 -2.719 -2.714
H -1.553 -8.039 1.391
H 1.797 -6.881 -0.854
H -0.512 -4.344 -4.954
H -1.977 -5.558 -1.883
H 0.741 -2.851 -0.351
Si 2.084 -3.035 -1.221
Si -2.490 -2.411 1.741
```

Summary:
Space group: P4/mbm
Raw total energy, eV/atom: -3.07
N(E_F), states/eV per cell: 0.0

***

[2]
The following is a DFT calculation (PBE) of an optimized crystal structure of Nd4Sm2Th.

```
7
Lattice="3.476 0.000 0.000 0.000 5.601 -2.253 0.000 1.566 11.982" Properties=species:S:1:pos:R:3 pbc="T T T"
Nd 0.000 0.675 1.677
Nd 1.738 3.206 7.969
Nd 1.738 3.962 1.760
Nd 0.000 6.493 8.052
Th 0.000 2.801 -1.127
Sm 1.738 5.293 5.068
Sm 1.738 1.875 4.661
```

Summary:
Space group: Cmmm
Raw total energy, eV/atom: -4.90
N(E_F), states/eV per cell: 13.6
Polymorph energy (0 for the lowest one), meV per atom: 149.0
Calculated formation energy, meV per atom: 231

***

[3]
The following is a DFT calculation (PBE) of an optimized crystal structure of Ge2IrRh.

```
8
Lattice="3.831 -0.039 0.159 -0.077 6.348 -0.161 -1.634 -3.241 5.664" Properties=species:S:1:pos:R:3 pbc="T T T"
Ir 1.018 1.494 2.645
Ir 0.702 0.505 0.037
Ge 0.955 3.741 4.184
Ge 1.160 -0.895 2.091
Ge -0.946 1.364 4.000
Ge 0.558 2.894 0.590
Rh 2.967 3.812 2.684
Rh 2.507 4.496 -0.005
```

Summary:
Space group: P-1
Raw total energy, eV/atom: -6.58
N(E_F), states/eV per cell: 3.2
Polymorph energy (0 for the lowest one), meV per atom: 37.3
Calculated formation energy, meV per atom: -223